(1)
VASP calculation (PBE) on a geometry-optimized Pr5HoSc2 structure.

ΔE_f (meV/atom): 144
Calculated total energy (eV per atom): -4.998
DOS(E_F) (states/eV/atom): 1.51
Magnetization (μB per atom): 0.02
ρ (kg/m3): 6031
Crystal system: tetragonal

Cell: 9.1400 9.1400 9.0424 Å, 120.36 120.36 90.00°
With the nearest neighbours (Å) after each atom.
Fractional positions:
Pr1 0.5102 0.3094 0.3196  3 Sc 3.32-3.38, 3 Pr 3.46-3.56, 2 Ho 3.66
Pr2 0.1906 0.9898 0.6804  3 Sc 3.32-3.38, 3 Pr 3.46-3.56, 2 Ho 3.66
Pr3 0.3094 0.8094 0.3196  3 Sc 3.32-3.38, 3 Pr 3.46-3.56, 2 Ho 3.66
Pr4 0.6906 0.1906 0.6804  3 Sc 3.32-3.38, 3 Pr 3.46-3.56, 2 Ho 3.66
Pr5 0.4898 0.6906 0.6804  3 Sc 3.32-3.38, 3 Pr 3.46-3.56, 2 Ho 3.66
Pr6 0.9898 0.4898 0.6804  3 Sc 3.32-3.38, 3 Pr 3.46-3.56, 2 Ho 3.66
Pr7 0.0102 0.5102 0.3196  3 Sc 3.32-3.38, 3 Pr 3.46-3.56, 2 Ho 3.66
Pr8 0.0000 0.0000 0.0000  2 Ho 3.16, 4 Sc 3.50
Pr9 0.8094 0.0102 0.3196  3 Sc 3.32-3.38, 3 Pr 3.46-3.56, 2 Ho 3.66
Pr10 0.5000 0.5000 0.0000  2 Ho 3.16, 4 Sc 3.50
Ho1 0.7500 0.7500 0.5000  2 Pr 3.16
Ho2 0.2500 0.2500 0.5000  2 Pr 3.16
Sc1 0.3533 0.8533 0.0000  8 Pr 3.32-3.50
Sc2 0.8533 0.6467 0.0000  8 Pr 3.32-3.50
Sc3 0.6467 0.1467 0.0000  8 Pr 3.32-3.50
Sc4 0.1467 0.3533 0.0000  8 Pr 3.32-3.50

---

(2)
VASP calculation (PBE) on a geometry-optimized Pr2Ho6Sc3 structure.

ΔE_f (meV/atom): 198
Calculated total energy (eV per atom): -4.895
DOS(E_F) (states/eV/atom): 1.63
Magnetization (μB per atom): 0.00
ρ (kg/m3): 6664
Crystal system: monoclinic

Cell: 5.9868 5.9925 11.4540 Å, 84.96 79.86 60.03°
With the nearest neighbours (Å) after each atom.
Fractional positions:
Pr1 0.1667 0.6666 0.5000  3 Pr 3.46, 6 Ho 3.57-3.58
Pr2 0.8333 0.3334 0.5000  3 Pr 3.46, 6 Ho 3.57-3.58
Ho1 0.5871 0.3335 0.2371  3 Sc 3.34, 6 Ho 3.46, 2 Pr 3.57-3.58
Ho2 0.9207 0.6665 0.2371  3 Sc 3.34, 6 Ho 3.46, 2 Pr 3.57-3.58
Ho3 0.7464 0.0000 0.7623  3 Sc 3.34, 6 Ho 3.46, 2 Pr 3.57
Ho4 0.0793 0.3335 0.7629  3 Sc 3.34, 6 Ho 3.46, 2 Pr 3.57-3.58
Ho5 0.2536 0.0000 0.2377  3 Sc 3.34, 6 Ho 3.46, 2 Pr 3.57
Ho6 0.4129 0.6665 0.7629  3 Sc 3.34, 6 Ho 3.46, 2 Pr 3.57-3.58
Sc1 0.0000 0.0000 0.0000  6 Ho 3.34, 6 Sc 3.45-3.47
Sc2 0.3346 0.3307 0.0000  6 Ho 3.34, 6 Sc 3.43-3.47
Sc3 0.6654 0.6693 0.0000  6 Ho 3.34, 6 Sc 3.43-3.47

---

(3)
VASP calculation (PBE) on a geometry-optimized PrHo12Sc5 structure.

ΔE_f (meV/atom): 152
Calculated total energy (eV per atom): -4.924
DOS(E_F) (states/eV/atom): 1.43
Magnetization (μB per atom): 0.02
ρ (kg/m3): 7360
Crystal system: monoclinic

Cell: 9.3654 9.5794 6.7593 Å, 90.04 90.09 60.74°
With the nearest neighbours (Å) after each atom.
Fractional positions:
Ho1 0.5102 0.2893 0.2369  6 Ho 3.25-3.55, 2 Sc 3.33-3.49
Ho2 0.5121 0.3627 0.7218  4 Sc 3.24-3.43, 5 Ho 3.25-3.55
Ho3 0.1252 0.3627 0.2782  4 Sc 3.24-3.43, 5 Ho 3.25-3.55
Ho4 0.2005 0.2893 0.7631  6 Ho 3.25-3.55, 2 Sc 3.33-3.49
Ho5 0.3440 0.0000 0.0848  6 Ho 3.14-3.33, 1 Sc 3.16, 1 Pr 3.27
Ho6 0.7995 0.7107 0.2369  6 Ho 3.25-3.55, 2 Sc 3.33-3.49
Ho7 0.4898 0.7107 0.7631  6 Ho 3.25-3.55, 2 Sc 3.33-3.49
Ho8 0.6560 0.0000 0.9152  6 Ho 3.14-3.33, 1 Sc 3.16, 1 Pr 3.27
Ho9 0.4879 0.6373 0.2782  4 Sc 3.24-3.43, 5 Ho 3.25-3.55
Ho10 0.1658 0.0000 0.5116  4 Ho 3.11-3.40, 3 Sc 3.13-3.42
Ho11 0.8748 0.6373 0.7218  4 Sc 3.24-3.43, 5 Ho 3.25-3.55
Ho12 0.8342 0.0000 0.4884  4 Ho 3.11-3.40, 3 Sc 3.13-3.42
Sc1 0.5000 0.0000 0.5000  8 Ho 3.13-3.33
Sc2 0.1825 0.6350 0.5000  6 Ho 3.24-3.42, 2 Sc 3.38
Sc3 0.8175 0.3651 0.5000  6 Ho 3.24-3.42, 2 Sc 3.38
Sc4 0.1914 0.6173 0.0000  1 Pr 3.20, 6 Ho 3.37-3.49, 2 Sc 3.38
Sc5 0.8087 0.3827 0.0000  1 Pr 3.20, 6 Ho 3.37-3.49, 2 Sc 3.38
Pr1 0.0000 0.0000 0.0000  2 Sc 3.20, 2 Ho 3.27

---

(4)
VASP calculation (PBE) on a geometry-optimized Pr2Ho8Sc3 structure.

ΔE_f (meV/atom): 256
Calculated total energy (eV per atom): -4.758
DOS(E_F) (states/eV/atom): 1.41
Magnetization (μB per atom): 0.00
ρ (kg/m3): 6961
Energy relative to the lowest polymorph listed for this composition (eV per atom): 0.2075
Crystal system: monoclinic

Cell: 6.5551 8.6555 8.5414 Å, 120.44 96.51 90.00°
With the nearest neighbours (Å) after each atom.
Fractional positions:
Sc1 0.0000 0.1638 0.0000  1 Sc 2.84
Sc2 0.5000 0.0000 0.0000  6 Ho 3.14-3.25
Sc3 0.0000 0.8362 0.0000  1 Sc 2.84
Ho1 0.4212 0.4248 0.2153  3 Ho 3.16-3.49, 2 Sc 3.25-3.28, 2 Pr 3.32-3.53
Ho2 0.5788 0.2095 0.7847  3 Ho 3.16-3.49, 2 Sc 3.25-3.28, 2 Pr 3.32-3.53
Ho3 0.8868 0.5873 0.1745  3 Ho 3.13-3.49, 2 Sc 3.30, 1 Pr 3.33
Ho4 0.5788 0.5752 0.7847  3 Ho 3.16-3.49, 2 Sc 3.25-3.28, 2 Pr 3.32-3.53
Ho5 0.1132 0.4127 0.8255  3 Ho 3.13-3.49, 2 Sc 3.30, 1 Pr 3.33
Ho6 0.4212 0.7905 0.2153  3 Ho 3.16-3.49, 2 Sc 3.25-3.28, 2 Pr 3.32-3.53
Ho7 0.2182 0.8105 0.6209  1 Sc 3.14, 2 Pr 3.21-3.37
Ho8 0.7818 0.1895 0.3791  1 Sc 3.14, 2 Pr 3.21-3.37
Pr1 0.7254 0.7925 0.5851  7 Ho 3.21-3.53, 1 Sc 3.56
Pr2 0.2746 0.2075 0.4149  7 Ho 3.21-3.53, 1 Sc 3.56

---

(5)
VASP calculation (PBE) on a geometry-optimized PrHo5Sc5 structure.

ΔE_f (meV/atom): 239
Calculated total energy (eV per atom): -5.154
DOS(E_F) (states/eV/atom): 1.96
Magnetization (μB per atom): 0.26
ρ (kg/m3): 6004
Crystal system: hexagonal

Cell: 5.7982 5.7982 11.3074 Å, 90.00 90.00 120.00°
With the nearest neighbours (Å) after each atom.
Fractional positions:
Ho1 0.6667 0.3333 0.8367  3 Sc 3.56, 7 Ho 3.69-3.82, 3 Pr 3.82
Ho2 0.0000 0.0000 0.0000  2 Sc 3.05, 3 Pr 3.35
Ho3 0.3333 0.6667 0.6752  9 Sc 3.41-3.51, 1 Pr 3.67, 3 Ho 3.81
Ho4 0.6667 0.3333 0.1633  3 Sc 3.56, 7 Ho 3.69-3.82, 3 Pr 3.82
Ho5 0.3333 0.6667 0.3248  9 Sc 3.41-3.51, 1 Pr 3.67, 3 Ho 3.81
Sc1 0.0000 0.0000 0.7306  4 Ho 3.05-3.41, 3 Sc 3.09
Sc2 0.8355 0.1645 0.5000  6 Sc 2.86-3.09
Sc3 0.3290 0.1645 0.5000  6 Sc 2.86-3.09
Sc4 0.8355 0.6710 0.5000  6 Sc 2.86-3.09
Sc5 0.0000 0.0000 0.2694  4 Ho 3.05-3.41, 3 Sc 3.09
Pr1 0.3333 0.6667 0.0000  5 Ho 3.35-3.67

---

(6)
VASP calculation (PBE) on a geometry-optimized Pr2Ho4Sc3 structure.

ΔE_f (meV/atom): 168
Calculated total energy (eV per atom): -5.039
DOS(E_F) (states/eV/atom): 1.70
Magnetization (μB per atom): 0.03
ρ (kg/m3): 5149
Crystal system: trigonal

Cell: 3.5087 3.5087 32.5561 Å, 90.00 90.00 120.00°
With the nearest neighbours (Å) after each atom.
Fractional positions:
Sc1 0.6667 0.3333 0.6502  6 Ho 3.32-3.33, 6 Sc 3.51
Sc2 0.0000 0.0000 0.9110  6 Pr 3.35-3.46, 6 Sc 3.51
Sc3 0.0000 0.0000 0.3985  6 Ho 3.29-3.35, 6 Sc 3.51
Ho1 0.0000 0.0000 0.5689  3 Sc 3.33, 9 Ho 3.51-3.52
Ho2 0.6667 0.3333 0.3190  3 Sc 3.29, 6 Ho 3.51
Ho3 0.6667 0.3333 0.4805  3 Sc 3.35, 9 Ho 3.51-3.52
Ho4 0.0000 0.0000 0.7308  3 Sc 3.32, 6 Ho 3.51, 3 Pr 3.67
Pr1 0.6667 0.3333 0.9931  3 Sc 3.35, 6 Pr 3.51
Pr2 0.6667 0.3333 0.8250  3 Sc 3.46, 6 Pr 3.51, 3 Ho 3.67